[1]
# BC | Alexandria via LeMat-Bulk | PBE-GGA | optimized geometry
# calculated formation energy: 326 meV per atom
# energy relative to the lowest polymorph listed for this composition: 175 meV per atom
data_BC
_symmetry_space_group_name_H-M 'C 1 m 1'
_symmetry_Int_Tables_number 8
_cell_length_a 12.408
_cell_length_b 2.646
_cell_length_c 5.316
_cell_angle_alpha 90.00
_cell_angle_beta 100.95
_cell_angle_gamma 90.00
loop_
_symmetry_equiv_pos_as_xyz
'x,y,z'
'x,-y,z'
'x+1/2,y+1/2,z'
'x+1/2,-y+1/2,z'
loop_
_atom_site_label
_atom_site_fract_x
_atom_site_fract_y
_atom_site_fract_z
B1 0.000 0.000 0.000
B2 0.030 0.500 0.556
B3 0.135 0.500 0.386
B4 0.175 0.500 0.994
B5 0.242 0.000 0.477
B6 0.377 0.500 0.341
C1 0.063 0.500 0.085
C2 0.246 0.000 0.977
C3 0.316 0.000 0.767
C4 0.318 0.000 0.248
C5 0.388 0.500 0.793
C6 0.470 0.500 0.593

=====

[2]
# B3C5 | Alexandria via LeMat-Bulk | PBE-GGA | optimized geometry
# calculated formation energy: 384 meV per atom
# energy relative to the lowest polymorph listed for this composition: 110 meV per atom
data_B3C5
_symmetry_space_group_name_H-M 'C 1 m 1'
_symmetry_Int_Tables_number 8
_cell_length_a 8.735
_cell_length_b 2.638
_cell_length_c 4.644
_cell_angle_alpha 90.00
_cell_angle_beta 94.05
_cell_angle_gamma 90.00
loop_
_symmetry_equiv_pos_as_xyz
'x,y,z'
'x,-y,z'
'x+1/2,y+1/2,z'
'x+1/2,-y+1/2,z'
loop_
_atom_site_label
_atom_site_fract_x
_atom_site_fract_y
_atom_site_fract_z
B1 0.000 0.000 0.000
B2 0.043 0.500 0.529
B3 0.265 0.000 0.105
C1 0.228 0.500 0.591
C2 0.276 0.000 0.759
C3 0.302 0.500 0.295
C4 0.459 0.000 0.835
C5 0.479 0.500 0.339